(1)
Below is crystalline TlReAu2 at its relaxed geometry, with properties calculated at the PBE level.

a = 6.300 Å, b = 6.300 Å, c = 4.906 Å
α = 67.02°, β = 67.02°, γ = 26.34°
Element x y z (fractional)
1 Au 0.963 0.963 0.037
2 Au 0.537 0.537 0.463
3 Re 0.250 0.250 0.250
4 Tl 0.750 0.750 0.750

Results
Excess energy over the best structure of this formula in the dataset in meV per atom: 99.1
VASP energy in eV/atom: -4.722
Energy of formation from the pure elements in eV/atom: 0.620
V in A^3/atom: 19.79

(2)
Below is crystalline SnH2CI at its relaxed geometry, with properties calculated at the PBE level.

a = 3.667 Å, b = 8.186 Å, c = 3.667 Å
α = 90.00°, β = 90.00°, γ = 90.00°
Site moments in Bohr magnetons follow the coordinates.
Element x y z (fractional)
1 I 0.000 0.000 0.000  0.00
2 H 0.000 0.000 0.500  0.00
3 H 0.500 0.000 0.000  0.00
4 C 0.500 0.500 0.500  0.22
5 Sn 0.000 0.500 0.000  -0.04

Results
VASP energy in eV/atom: -2.942
V in A^3/atom: 22.02

(3)
Below is crystalline Al2TeMo at its relaxed geometry, with properties calculated at the PBE level.

a = 3.056 Å, b = 3.056 Å, c = 8.708 Å
α = 90.00°, β = 90.00°, γ = 90.00°
Element x y z (fractional)
1 Mo 0.500 0.500 0.250
2 Te 0.500 0.500 0.750
3 Al 0.000 0.000 0.069
4 Al 0.000 0.000 0.431

Results
Energy relative to the elements, uncorrected in kcal/mol of atoms: 4.52
VASP energy in eV/atom: -5.168
V in A^3/atom: 20.33

(4)
Below is crystalline CdTe2As2 at its relaxed geometry, with properties calculated at the PBE level.

a = 3.884 Å, b = 3.884 Å, c = 8.936 Å
α = 77.45°, β = 77.45°, γ = 90.00°
Element x y z (fractional)
1 As 0.750 0.250 0.500
2 As 0.250 0.750 0.500
3 Te 0.401 0.401 0.197
4 Te 0.599 0.599 0.803
5 Cd 0.000 0.000 0.000

Results
Excess energy over the best structure of this formula in the dataset in meV per atom: 85.9
Energy relative to the elements, uncorrected in kcal/mol of atoms: 5.28
VASP energy in eV/atom: -3.071
V in A^3/atom: 25.66

(5)
Below is crystalline RbSbTe3Pb at its relaxed geometry, with properties calculated at the PBE level.

a = 4.490 Å, b = 10.208 Å, c = 10.894 Å
α = 104.89°, β = 90.00°, γ = 90.00°
Element x y z (fractional)
1 Rb 0.750 0.818 0.779
2 Rb 0.250 0.182 0.221
3 Sb 0.250 0.640 0.145
4 Sb 0.750 0.360 0.855
5 Te 0.250 0.671 0.447
6 Te 0.750 0.859 0.156
7 Te 0.750 0.433 0.138
8 Te 0.750 0.329 0.553
9 Te 0.250 0.567 0.862
10 Te 0.250 0.141 0.844
11 Pb 0.250 0.131 0.563
12 Pb 0.750 0.869 0.437

Results
Energy relative to the elements, uncorrected in kcal/mol of atoms: -9.95
VASP energy in eV/atom: -3.469
V in A^3/atom: 40.21

(6)
Below is crystalline Rb2PdN at its relaxed geometry, with properties calculated at the PBE level.

a = 12.054 Å, b = 12.054 Å, c = 8.740 Å
α = 46.40°, β = 46.40°, γ = 90.00°
Element x y z (fractional)
1 Rb 0.409 0.125 0.250
2 Rb 0.341 0.625 0.250
3 Rb 0.375 0.591 0.750
4 Rb 0.875 0.659 0.750
5 Pd 0.000 0.000 0.000
6 Pd 0.750 0.250 0.500
7 N 0.500 0.500 0.000
8 N 0.250 0.750 0.500

Results
Energy relative to the elements, uncorrected in kcal/mol of atoms: 2.02
VASP energy in eV/atom: -3.776
V in A^3/atom: 35.10

(7)
Below is crystalline Be2WAu at its relaxed geometry, with properties calculated at the PBE level.

a = 4.975 Å, b = 4.975 Å, c = 4.975 Å
α = 139.38°, β = 139.38°, γ = 58.80°
Element x y z (fractional)
1 Be 0.000 0.000 0.000
2 Be 0.250 0.750 0.500
3 Au 0.750 0.250 0.500
4 W 0.500 0.500 0.000

Results
Excess energy over the best structure of this formula in the dataset in meV per atom: 252.7
VASP energy in eV/atom: -5.563
Energy of formation from the pure elements in eV/atom: 0.357
V in A^3/atom: 12.92

(8)
Below is crystalline K2GaTcSn at its relaxed geometry, with properties calculated at the PBE level.

a = 6.257 Å, b = 4.790 Å, c = 6.257 Å
α = 90.00°, β = 90.00°, γ = 90.00°
Site moments in Bohr magnetons follow the coordinates.
Element x y z (fractional)
1 K 0.000 0.000 0.500  0.00
2 K 0.500 0.000 0.000  0.01
3 Sn 0.500 0.500 0.500  0.29
4 Ga 0.000 0.500 0.000  -0.02
5 Tc 0.000 0.000 0.000  -0.26

Results
VASP energy in eV/atom: -2.868
Energy of formation from the pure elements in eV/atom: 1.050
V in A^3/atom: 37.50